(1)
First-principles (PBE) data for an optimized crystal structure of PrAl5Ag2, as listed in the Alexandria database.

The structure belongs to space group Immm (No. 71); the cell edges are 4.162, 7.393 and 10.216 Å and the angles 90.00°, 90.00° and 90.00°. Symmetry generates all atoms from Pr at (0.000, 0.000, 0.000), Al at (0.000, 0.186, 0.361), Al at (0.000, 0.500, 0.000) and Ag at (0.000, 0.500, 0.252).

Its total energy is -62.01 eV for the cell shown.

---

(2)
First-principles (PBE) data for an optimized crystal structure of Zr2TaSn2, as listed in the Alexandria database.

The structure belongs to space group P4/mbm (No. 127); the cell edges are 7.443, 7.443 and 3.934 Å and the angles 90.00°, 90.00° and 90.00°. Symmetry generates all atoms from Zr at (0.168, 0.332, 0.000), Ta at (0.000, 0.000, 0.500) and Sn at (0.137, 0.637, 0.500).

Its total energy is -76.85 eV for the cell shown.

---

(3)
First-principles (PBE) data for an optimized crystal structure of AlGe, as listed in the Alexandria database.

The structure belongs to space group Cmc2_1 (No. 36); the cell edges are 3.011, 8.021 and 7.298 Å and the angles 90.00°, 90.00° and 90.00°. Symmetry generates all atoms from Al at (0.000, 0.148, 0.000) and Ge at (0.000, 0.129, 0.342).

Its total energy is -32.85 eV for the cell shown.

---

(4)
First-principles (PBE) data for an optimized crystal structure of InNiSe2, as listed in the Alexandria database.

The structure belongs to space group P2/m (No. 10); the cell edges are 4.027, 3.452 and 6.810 Å and the angles 90.00°, 100.21° and 90.00°. Symmetry generates all atoms from In at (0.000, 0.000, 0.000), Ni at (0.500, 0.000, 0.500) and Se at (0.476, 0.500, 0.726).

The formation energy (no corrections) is -0.16 eV per atom.

---

(5)
First-principles (PBE) data for an optimized crystal structure of Pu2ZnSbPt6, as listed in the Alexandria database.

The structure belongs to space group P-1 (No. 2); the cell edges are 5.232, 5.725 and 7.335 Å and the angles 96.81°, 108.89° and 101.57°. Symmetry generates all atoms from Pu at (0.054, 0.247, 0.212), Zn at (0.500, 0.000, 0.500), Sb at (0.500, 0.500, 0.000), Pt at (0.001, 0.251, 0.718), Pt at (0.334, 0.600, 0.611) and Pt at (0.427, 0.923, 0.143).

The formation energy (no corrections) is -0.48 eV per atom.

---

(6)
First-principles (PBE) data for an optimized crystal structure of HoZrGaCo, as listed in the Alexandria database.

The structure belongs to space group F-43m (No. 216); the cell edges are 6.753, 6.753 and 6.753 Å and the angles 90.00°, 90.00° and 90.00°. Symmetry generates all atoms from Ho at (0.000, 0.000, 0.000), Zr at (0.000, 0.000, 0.500), Ga at (0.250, 0.250, 0.750) and Co at (0.250, 0.250, 0.250).

Its total energy is -97.57 eV for the cell shown.

---

Repeat the second record exactly.
First-principles (PBE) data for an optimized crystal structure of Zr2TaSn2, as listed in the Alexandria database.

The structure belongs to space group P4/mbm (No. 127); the cell edges are 7.443, 7.443 and 3.934 Å and the angles 90.00°, 90.00° and 90.00°. Symmetry generates all atoms from Zr at (0.168, 0.332, 0.000), Ta at (0.000, 0.000, 0.500) and Sn at (0.137, 0.637, 0.500).

Its total energy is -76.85 eV for the cell shown.